Here is crystalline MgTl4Ni4O12 at its relaxed geometry from the Alexandria database. Energies are from PBE with a Hubbard U.

The structure in CIF format:
```
data_MgTl4Ni4O12
_symmetry_space_group_name_H-M 'P 1'
_symmetry_Int_Tables_number 1
_cell_length_a 5.5798
_cell_length_b 5.7302
_cell_length_c 8.8395
_cell_angle_alpha 77.80
_cell_angle_beta 83.15
_cell_angle_gamma 81.77
loop_
_symmetry_equiv_pos_as_xyz
'x,y,z'
loop_
_atom_site_label
_atom_site_fract_x
_atom_site_fract_y
_atom_site_fract_z
Mg1 0.0000 0.0000 0.0000
Tl1 0.0712 0.7760 0.3758
Tl2 0.5302 0.2440 0.8340
Tl3 0.5957 0.2383 0.3537
Tl4 0.9630 0.6517 0.7943
Ni1 0.0880 0.2007 0.5840
Ni2 0.1153 0.3607 0.1521
Ni3 0.5513 0.6778 0.5764
Ni4 0.5555 0.8096 0.1520
O1 0.1457 0.3246 0.9279
O2 0.2356 0.9829 0.1607
O3 0.2382 0.8509 0.5841
O4 0.3697 0.5299 0.2268
O5 0.4149 0.3427 0.5806
O6 0.5511 0.6377 0.7958
O7 0.6343 0.8380 0.3674
O8 0.6649 0.1144 0.0773
O9 0.8815 0.6667 0.0853
O10 0.8863 0.5342 0.5744
O11 0.8950 0.0476 0.7773
O12 0.9834 0.2175 0.3710
```

**E above lowest polymorph**: 4.6 meV/atom
**Total magnetization**: 0.284 μB/atom
**Space group**: P1